Record 1
This record from Alexandria describes Mg2Ga5Cu6 at its PBEsol-relaxed geometry. The functional is SCAN.

Structure (extended XYZ):
```
39
Lattice="8.1617 0.0000 0.0000 0.0000 8.1617 0.0000 0.0000 0.0000 8.1617" Properties=species:S:1:pos:R:3 pbc="T T T"
Mg 0.0000 2.5970 4.0808
Mg 0.0000 5.5647 4.0808
Mg 2.5970 4.0808 0.0000
Mg 4.0808 0.0000 2.5970
Mg 4.0808 0.0000 5.5647
Mg 5.5647 4.0808 0.0000
Ga 0.0000 4.0808 1.3387
Ga 0.0000 4.0808 6.8230
Ga 1.3387 0.0000 4.0808
Ga 1.7781 1.7781 1.7781
Ga 1.7781 1.7781 6.3835
Ga 1.7781 6.3835 1.7781
Ga 1.7781 6.3835 6.3835
Ga 4.0808 1.3387 0.0000
Ga 4.0808 4.0808 4.0808
Ga 4.0808 6.8230 0.0000
Ga 6.3835 1.7781 1.7781
Ga 6.3835 1.7781 6.3835
Ga 6.3835 6.3835 1.7781
Ga 6.3835 6.3835 6.3835
Ga 6.8230 0.0000 4.0808
Cu 0.0000 0.0000 1.8361
Cu 0.0000 0.0000 6.3255
Cu 0.0000 1.8361 0.0000
Cu 0.0000 6.3255 0.0000
Cu 1.8361 0.0000 0.0000
Cu 1.9796 4.0808 2.7492
Cu 1.9796 4.0808 5.4125
Cu 2.7492 1.9796 4.0808
Cu 2.7492 6.1821 4.0808
Cu 4.0808 2.7492 1.9796
Cu 4.0808 2.7492 6.1821
Cu 4.0808 5.4125 1.9796
Cu 4.0808 5.4125 6.1821
Cu 5.4125 1.9796 4.0808
Cu 5.4125 6.1821 4.0808
Cu 6.1821 4.0808 2.7492
Cu 6.1821 4.0808 5.4125
Cu 6.3255 0.0000 0.0000
```

For the formation energy, the calculation gives -0.243 eV/atom. Its density of states at the Fermi level is 9.65 states/eV/cell. The raw total energy comes out at -558.111 eV per cell.

Record 2
This record from Alexandria describes MgZnGa2Cu at its PBEsol-relaxed geometry. The functional is SCAN.

Structure (extended XYZ):
```
5
Lattice="4.5121 0.0000 0.0000 0.0000 4.5121 0.0000 0.0000 0.0000 4.8923" Properties=species:S:1:pos:R:3 pbc="T T T"
Mg 0.0000 0.0000 0.0000
Zn 2.2561 2.2561 0.0000
Ga 0.0000 2.2561 2.4462
Ga 2.2561 0.0000 2.4462
Cu 0.0000 0.0000 2.4462
```

For the formation energy, the calculation gives 0.184 eV/atom. Its density of states at the Fermi level is 1.32 states/eV/cell. The raw total energy comes out at -65.459 eV per cell.

Record 3
This record from Alexandria describes MnGa3Cu at its PBEsol-relaxed geometry. The functional is SCAN.

Structure (extended XYZ):
```
5
Lattice="4.5354 0.0000 0.0000 0.0000 4.5354 0.0000 0.0000 0.0000 4.5354" Properties=species:S:1:pos:R:3 pbc="T T T"
Mn 0.0000 0.0000 0.0000
Ga 0.0000 2.2677 2.2677
Ga 2.2677 0.0000 2.2677
Ga 2.2677 2.2677 0.0000
Cu 2.2677 2.2677 2.2677
```

For the formation energy, the calculation gives 0.319 eV/atom. Its density of states at the Fermi level is 1.96 states/eV/cell. The raw total energy comes out at -80.900 eV per cell.

Calculated total moment in order - 0.000 0.000 0.907 μB per atom